1.
First-principles (PBE) data for crystalline VGeHPd2 at its relaxed geometry, as listed in Alexandria via LeMat-Bulk.

The calculation puts the total energy at -5.658 eV/atom. Its density of states at the Fermi level is 0.45 states/eV per atom.

a = 3.8265 Å, b = 3.8265 Å, c = 4.2430 Å
α = 90.00°, β = 90.00°, γ = 90.00°
Fractional positions:
1 H 0.0000 0.0000 0.0000
2 Pd 0.0000 0.5000 0.0000
3 Pd 0.5000 0.0000 0.0000
4 V 0.0000 0.0000 0.5000
5 Ge 0.5000 0.5000 0.5000

2.
First-principles (PBE) data for crystalline YGe2HPd at its relaxed geometry, as listed in Alexandria via LeMat-Bulk.

The calculation puts the total energy at -4.505 eV/atom. Its density of states at the Fermi level is 0.87 states/eV per atom.

a = 4.6678 Å, b = 5.5882 Å, c = 4.6678 Å
α = 90.00°, β = 90.00°, γ = 90.00°
Fractional positions:
1 H 0.5000 0.5000 0.5000
2 Ge 0.0000 0.0000 0.5000
3 Ge 0.5000 0.0000 0.0000
4 Y 0.0000 0.5000 0.0000
5 Pd 0.0000 0.0000 0.0000

3.
First-principles (PBE) data for crystalline ZnGeHPd4 at its relaxed geometry, as listed in Alexandria via LeMat-Bulk.

The calculation puts the total energy at -4.609 eV/atom. Its density of states at the Fermi level is 0.22 states/eV per atom.

a = 5.4210 Å, b = 5.4245 Å, c = 7.1662 Å
α = 90.00°, β = 112.22°, γ = 90.00°
Fractional positions:
1 Ge 0.8855 0.7500 0.7711
2 Ge 0.1145 0.2500 0.2289
3 Zn 0.3908 0.2500 0.7816
4 Zn 0.6092 0.7500 0.2184
5 Pd 0.0673 0.7500 0.1345
6 Pd 0.0000 0.0000 0.5000
7 Pd 0.5000 0.5000 0.5000
8 Pd 0.5000 0.0000 0.5000
9 Pd 0.0000 0.5000 0.5000
10 Pd 0.4220 0.7500 0.8440
11 Pd 0.5780 0.2500 0.1560
12 Pd 0.9327 0.2500 0.8655
13 H 0.7485 0.2500 0.4970
14 H 0.2515 0.7500 0.5030

4.
First-principles (PBE) data for crystalline ZrGeHPd2 at its relaxed geometry, as listed in Alexandria via LeMat-Bulk.

The calculation puts the total energy at -5.852 eV/atom. Its density of states at the Fermi level is 0.83 states/eV per atom.

a = 3.9589 Å, b = 3.9589 Å, c = 4.5206 Å
α = 90.00°, β = 90.00°, γ = 90.00°
Fractional positions:
1 H 0.0000 0.0000 0.0000
2 Ge 0.5000 0.5000 0.5000
3 Pd 0.5000 0.0000 0.0000
4 Pd 0.0000 0.5000 0.0000
5 Zr 0.0000 0.0000 0.5000

5.
First-principles (PBE) data for crystalline Pm2GeH2 at its relaxed geometry, as listed in Alexandria via LeMat-Bulk.

The calculation puts the total energy at -4.861 eV/atom. Its density of states at the Fermi level is 0.30 states/eV per atom.

a = 5.2463 Å, b = 5.4480 Å, c = 6.7149 Å
α = 90.05°, β = 113.18°, γ = 90.06°
Fractional positions:
1 Ge 0.7500 0.7500 0.0000
2 Ge 0.2500 0.2500 0.0000
3 H 0.7500 0.0003 0.5000
4 H 0.7500 0.4997 0.4999
5 H 0.2500 0.9997 0.5000
6 H 0.2500 0.5003 0.5001
7 Pm 0.8888 0.2497 0.2794
8 Pm 0.3888 0.7497 0.2794
9 Pm 0.1112 0.7503 0.7206
10 Pm 0.6112 0.2503 0.7206

6.
First-principles (PBE) data for crystalline Pm12Ge6H at its relaxed geometry, as listed in Alexandria via LeMat-Bulk.

The calculation puts the total energy at -5.105 eV/atom. Its density of states at the Fermi level is 1.03 states/eV per atom.

a = 8.3850 Å, b = 8.3850 Å, c = 8.3850 Å
α = 99.72°, β = 99.72°, γ = 99.72°
Fractional positions:
1 Pm 0.4398 0.8143 0.5778
2 Pm 0.9290 0.0296 0.6871
3 Pm 0.1857 0.4222 0.5602
4 Pm 0.5778 0.4398 0.8143
5 Pm 0.8143 0.5778 0.4398
6 Pm 0.6871 0.9290 0.0296
7 Pm 0.0710 0.9704 0.3129
8 Pm 0.0296 0.6871 0.9290
9 Pm 0.4222 0.5602 0.1857
10 Pm 0.3129 0.0710 0.9704
11 Pm 0.5602 0.1857 0.4222
12 Pm 0.9704 0.3129 0.0710
13 Ge 0.1226 0.6289 0.2992
14 Ge 0.7008 0.8774 0.3711
15 Ge 0.3711 0.7008 0.8774
16 Ge 0.6289 0.2992 0.1226
17 Ge 0.2992 0.1226 0.6289
18 Ge 0.8774 0.3711 0.7008
19 H 0.0000 0.0000 0.0000

7.
First-principles (PBE) data for crystalline Pm7Ge3H2 at its relaxed geometry, as listed in Alexandria via LeMat-Bulk.

The calculation puts the total energy at -4.931 eV/atom. Its density of states at the Fermi level is 0.83 states/eV per atom.

a = 4.4792 Å, b = 4.8076 Å, c = 12.9857 Å
α = 100.67°, β = 90.00°, γ = 90.00°
Fractional positions:
1 Pm 0.5000 0.0950 0.1900
2 Pm 0.5000 0.9050 0.8100
3 Pm 0.0000 0.6088 0.2176
4 Pm 0.0000 0.3912 0.7824
5 Pm 0.0000 0.0000 0.0000
6 Pm 0.0000 0.7913 0.5826
7 Pm 0.0000 0.2087 0.4174
8 H 0.0000 0.1152 0.2305
9 H 0.0000 0.8848 0.7695
10 Ge 0.5000 0.3097 0.6195
11 Ge 0.5000 0.6903 0.3805
12 Ge 0.5000 0.5000 0.0000

8.
First-principles (PBE) data for crystalline Pm5Ge2H2 at its relaxed geometry, as listed in Alexandria via LeMat-Bulk.

The calculation puts the total energy at -4.961 eV/atom. Its density of states at the Fermi level is 0.79 states/eV per atom.

a = 6.5746 Å, b = 6.3622 Å, c = 11.0981 Å
α = 106.66°, β = 107.23°, γ = 90.00°
Fractional positions:
1 Pm 0.7586 0.7251 0.0182
2 Pm 0.7596 0.2251 0.0182
3 Pm 0.1883 0.1217 0.3050
4 Pm 0.3834 0.3168 0.6950
5 Pm 0.8074 0.2156 0.5000
6 Pm 0.1926 0.7156 0.5000
7 Pm 0.6166 0.6217 0.3050
8 Pm 0.8117 0.8168 0.6950
9 Pm 0.2414 0.7068 0.9818
10 Pm 0.2404 0.2068 0.9818
11 H 0.1396 0.3487 0.5000
12 H 0.0000 0.9650 0.0000
13 H 0.8604 0.8487 0.5000
14 H 0.5000 0.4650 0.0000
15 Ge 0.4146 0.8628 0.7894
16 Ge 0.8748 0.3628 0.7894
17 Ge 0.5854 0.0734 0.2106
18 Ge 0.1252 0.5734 0.2106

9.
First-principles (PBE) data for crystalline Pm5Ge4H at its relaxed geometry, as listed in Alexandria via LeMat-Bulk.

The calculation puts the total energy at -5.197 eV/atom. Its density of states at the Fermi level is 0.63 states/eV per atom.

a = 5.9746 Å, b = 7.2611 Å, c = 7.2611 Å
α = 80.26°, β = 65.71°, γ = 65.71°
Fractional positions:
1 Ge 0.7970 0.8025 0.6039
2 Ge 0.5995 0.6039 0.1975
3 Ge 0.2035 0.1975 0.3961
4 Ge 0.4010 0.3961 0.8025
5 Pm 0.7025 0.1987 0.3930
6 Pm 0.0955 0.6070 0.1987
7 Pm 0.2942 0.8013 0.6070
8 Pm 0.9012 0.3930 0.8013
9 Pm 0.4663 0.0000 0.0000
10 H 0.0495 0.0000 0.0000

10.
First-principles (PBE) data for crystalline Pm8Ge5H at its relaxed geometry, as listed in Alexandria via LeMat-Bulk.

The calculation puts the total energy at -5.269 eV/atom. Its density of states at the Fermi level is 0.72 states/eV per atom.

a = 7.8084 Å, b = 7.8084 Å, c = 7.8084 Å
α = 110.91°, β = 106.63°, γ = 110.91°
Fractional positions:
1 Pm 0.1136 0.7663 0.5018
2 Pm 0.2593 0.2621 0.3983
3 Pm 0.6527 0.3882 0.8864
4 Pm 0.7355 0.2337 0.3473
5 Pm 0.0028 0.1390 0.7407
6 Pm 0.4982 0.6118 0.2645
7 Pm 0.6017 0.8610 0.8638
8 Pm 0.1362 0.7379 0.9972
9 Ge 0.7586 0.6272 0.6338
10 Ge 0.3662 0.1248 0.9934
11 Ge 0.5000 0.0000 0.5000
12 Ge 0.0066 0.3728 0.1314
13 Ge 0.8686 0.8752 0.2414
14 H 0.2500 0.5000 0.7500

11.
First-principles (PBE) data for crystalline Pm4GeH5 at its relaxed geometry, as listed in Alexandria via LeMat-Bulk.

The calculation puts the total energy at -4.515 eV/atom. Its density of states at the Fermi level is 0.53 states/eV per atom.

a = 5.3038 Å, b = 7.0759 Å, c = 9.0475 Å
α = 90.00°, β = 90.00°, γ = 90.00°
Fractional positions:
1 Pm 0.4916 0.7720 0.0000
2 Pm 0.0041 0.5000 0.8084
3 Pm 0.5084 0.2720 0.5000
4 Pm 0.9959 0.0000 0.6916
5 Pm 0.4916 0.2280 0.0000
6 Pm 0.5084 0.7280 0.5000
7 Pm 0.9959 0.0000 0.3084
8 Pm 0.0041 0.5000 0.1916
9 H 0.7229 0.2507 0.2480
10 H 0.7229 0.7493 0.2480
11 H 0.7229 0.2507 0.7520
12 H 0.2771 0.2493 0.7480
13 H 0.7240 0.5000 0.0000
14 H 0.2771 0.2493 0.2520
15 H 0.2771 0.7507 0.7480
16 H 0.7229 0.7493 0.7520
17 H 0.2760 0.0000 0.5000
18 H 0.2771 0.7507 0.2520
19 Ge 0.0014 0.5000 0.5000
20 Ge 0.9986 0.0000 0.0000

12.
First-principles (PBE) data for crystalline Pm12Ge3H5 at its relaxed geometry, as listed in Alexandria via LeMat-Bulk.

The calculation puts the total energy at -4.767 eV/atom. Its density of states at the Fermi level is 0.77 states/eV per atom.

a = 13.5775 Å, b = 13.5775 Å, c = 13.5775 Å
α = 109.47°, β = 109.47°, γ = 109.47°
Fractional positions:
1 Pm 0.6899 0.4770 0.5928
2 Pm 0.0971 0.1899 0.2129
3 Pm 0.0230 0.6159 0.7129
4 Pm 0.7129 0.5971 0.1899
5 Pm 0.3841 0.4072 0.0971
6 Pm 0.1159 0.7129 0.5230
7 Pm 0.9029 0.8101 0.7871
8 Pm 0.0230 0.4072 0.8101
9 Pm 0.1899 0.0971 0.7129
10 Pm 0.8841 0.5971 0.9072
11 Pm 0.4770 0.7871 0.8841
12 Pm 0.7871 0.3101 0.9029
13 Pm 0.6159 0.0230 0.2129
14 Pm 0.5971 0.7129 0.6899
15 Pm 0.5230 0.3101 0.9072
16 Pm 0.5928 0.6159 0.4029
17 Pm 0.4029 0.1159 0.5928
18 Pm 0.8101 0.9072 0.0230
19 Pm 0.0971 0.9072 0.3841
20 Pm 0.3101 0.7871 0.4029
21 Pm 0.9072 0.8101 0.5230
22 Pm 0.8101 0.9029 0.2871
23 Pm 0.9072 0.0971 0.8841
24 Pm 0.4029 0.2871 0.3101
25 Pm 0.2871 0.4029 0.8101
26 Pm 0.3841 0.9770 0.7871
27 Pm 0.4770 0.6899 0.0928
28 Pm 0.5971 0.8841 0.4072
29 Pm 0.9770 0.3841 0.2871
30 Pm 0.8841 0.2871 0.4770
31 Pm 0.2871 0.8841 0.9770
32 Pm 0.0928 0.9029 0.1159
33 Pm 0.6899 0.2129 0.5971
34 Pm 0.1899 0.0928 0.9770
35 Pm 0.9029 0.0928 0.6159
36 Pm 0.6159 0.5928 0.9029
37 Pm 0.5928 0.9770 0.6899
38 Pm 0.1159 0.4029 0.0928
39 Pm 0.4072 0.0230 0.3101
40 Pm 0.2129 0.5230 0.6159
41 Pm 0.9770 0.5928 0.1899
42 Pm 0.2129 0.6899 0.0971
43 Pm 0.4072 0.3841 0.5971
44 Pm 0.5230 0.2129 0.1159
45 Pm 0.0928 0.1899 0.4770
46 Pm 0.3101 0.5230 0.4072
47 Pm 0.7871 0.4770 0.3841
48 Pm 0.7129 0.1159 0.0230
49 Ge 0.2500 0.1250 0.3750
50 Ge 0.8750 0.1250 0.2500
51 Ge 0.3750 0.6250 0.2500
52 Ge 0.7500 0.8750 0.6250
53 Ge 0.3750 0.7500 0.6250
54 Ge 0.1250 0.8750 0.7500
55 Ge 0.6250 0.2500 0.3750
56 Ge 0.1250 0.2500 0.8750
57 Ge 0.2500 0.6250 0.8750
58 Ge 0.8750 0.7500 0.1250
59 Ge 0.6250 0.3750 0.7500
60 Ge 0.7500 0.3750 0.1250
61 H 0.3750 0.1250 0.7500
62 H 0.5000 0.0000 0.0000
63 H 0.1250 0.3750 0.2500
64 H 0.5000 0.0000 0.5000
65 H 0.7500 0.6250 0.3750
66 H 0.1250 0.7500 0.3750
67 H 0.2500 0.8750 0.1250
68 H 0.0000 0.0000 0.5000
69 H 0.5000 0.5000 0.0000
70 H 0.0000 0.5000 0.0000
71 H 0.8750 0.2500 0.6250
72 H 0.6250 0.7500 0.8750
73 H 0.2500 0.3750 0.6250
74 H 0.8750 0.6250 0.7500
75 H 0.3750 0.2500 0.1250
76 H 0.6250 0.8750 0.2500
77 H 0.0000 0.0000 0.0000
78 H 0.0000 0.5000 0.5000
79 H 0.5000 0.5000 0.5000
80 H 0.7500 0.1250 0.8750

- What is the formula in the fifth record?
  Pm2GeH2